<one>
Computed, not measured: a geometry-optimized TaTc2HRu structure at the PBE-GGA level of DFT.

Cell and atoms, written as CIF:
```
data_TaTc2HRu
_chemical_formula_sum 'Ta1 Tc2 H1 Ru1'
_symmetry_space_group_name_H-M 'P 4/m m m'
_symmetry_Int_Tables_number 123
_symmetry_space_group_name_Hall '-P 4 2'
_cell_length_a 3.9737
_cell_length_b 3.9737
_cell_length_c 3.9855
_cell_angle_alpha 90.00
_cell_angle_beta 90.00
_cell_angle_gamma 90.00
loop_
_atom_site_label
_atom_site_type_symbol
_atom_site_fract_x
_atom_site_fract_y
_atom_site_fract_z
Ta1 Ta 0.0000 0.0000 0.0000
Tc1 Tc 0.0000 0.5000 0.5000
H1 H 0.5000 0.5000 0.5000
Ru1 Ru 0.5000 0.5000 0.0000
```

Calculated values
Fermi-level density of states = 4.8 states/eV/f.u.

---

<two>
Computed, not measured: a geometry-optimized TaTc2HRu structure at the PBE-GGA level of DFT.

Cell and atoms, written as CIF:
```
data_TaTc2HRu
_chemical_formula_sum 'Ta1 Tc2 H1 Ru1'
_symmetry_space_group_name_H-M 'P 4/m m m'
_symmetry_Int_Tables_number 123
_symmetry_space_group_name_Hall '-P 4 2'
_cell_length_a 3.9385
_cell_length_b 3.9385
_cell_length_c 4.0640
_cell_angle_alpha 90.00
_cell_angle_beta 90.00
_cell_angle_gamma 90.00
loop_
_atom_site_label
_atom_site_type_symbol
_atom_site_fract_x
_atom_site_fract_y
_atom_site_fract_z
Ta1 Ta 0.0000 0.0000 0.0000
Tc1 Tc 0.0000 0.5000 0.5000
H1 H 0.0000 0.0000 0.5000
Ru1 Ru 0.5000 0.5000 0.0000
```

Calculated values
Fermi-level density of states = 3.7 states/eV/f.u.

---

Winner for stability: <one>

---

<one>
Computed, not measured: a geometry-optimized Ta2VHRu structure at the PBE-GGA level of DFT.

Cell and atoms, written as CIF:
```
data_Ta2VHRu
_chemical_formula_sum 'Ta2 V1 H1 Ru1'
_symmetry_space_group_name_H-M 'P 4/m m m'
_symmetry_Int_Tables_number 123
_symmetry_space_group_name_Hall '-P 4 2'
_cell_length_a 4.4038
_cell_length_b 4.4038
_cell_length_c 3.4388
_cell_angle_alpha 90.00
_cell_angle_beta 90.00
_cell_angle_gamma 90.00
loop_
_atom_site_label
_atom_site_type_symbol
_atom_site_fract_x
_atom_site_fract_y
_atom_site_fract_z
Ta1 Ta 0.0000 0.5000 0.0000
V1 V 0.0000 0.0000 0.5000
H1 H 0.5000 0.5000 0.0000
Ru1 Ru 0.5000 0.5000 0.5000
```

Calculated values
Fermi-level density of states = 3.4 states/eV/f.u.

---

<two>
Computed, not measured: a geometry-optimized Ta2VHRu structure at the PBE-GGA level of DFT.

Cell and atoms, written as CIF:
```
data_Ta2VHRu
_chemical_formula_sum 'Ta2 V1 H1 Ru1'
_symmetry_space_group_name_H-M 'P 4/m m m'
_symmetry_Int_Tables_number 123
_symmetry_space_group_name_Hall '-P 4 2'
_cell_length_a 4.4466
_cell_length_b 4.4466
_cell_length_c 3.3125
_cell_angle_alpha 90.00
_cell_angle_beta 90.00
_cell_angle_gamma 90.00
loop_
_atom_site_label
_atom_site_type_symbol
_atom_site_fract_x
_atom_site_fract_y
_atom_site_fract_z
Ta1 Ta 0.0000 0.5000 0.0000
V1 V 0.0000 0.0000 0.5000
H1 H 0.0000 0.0000 0.0000
Ru1 Ru 0.5000 0.5000 0.5000
```

Calculated values
Fermi-level density of states = 2.9 states/eV/f.u.

---

Winner for stability: <two>

---

<one>
Computed, not measured: a geometry-optimized Tb2HRu structure at the PBE-GGA level of DFT.

Cell and atoms, written as CIF:
```
data_Tb2HRu
_chemical_formula_sum 'Tb6 H3 Ru3'
_symmetry_space_group_name_H-M 'R -3 m'
_symmetry_Int_Tables_number 166
_symmetry_space_group_name_Hall '-R 3 2"'
_cell_length_a 3.5941
_cell_length_b 3.5941
_cell_length_c 20.2587
_cell_angle_alpha 90.00
_cell_angle_beta 90.00
_cell_angle_gamma 120.00
loop_
_atom_site_label
_atom_site_type_symbol
_atom_site_fract_x
_atom_site_fract_y
_atom_site_fract_z
Tb1 Tb 0.0000 0.0000 0.2406
H1 H 0.0000 0.0000 0.5000
Ru1 Ru 0.0000 0.0000 0.0000
```

Calculated values
Fermi-level density of states = 3.1 states/eV/f.u.

---

<two>
Computed, not measured: a geometry-optimized Tb2HRu structure at the PBE-GGA level of DFT.

Cell and atoms, written as CIF:
```
data_Tb2HRu
_chemical_formula_sum 'Tb8 H4 Ru4'
_symmetry_space_group_name_H-M 'C 1 2/m 1'
_symmetry_Int_Tables_number 12
_cell_length_a 13.9162
_cell_length_b 3.5412
_cell_length_c 6.9690
_cell_angle_alpha 90.00
_cell_angle_beta 111.68
_cell_angle_gamma 90.00
loop_
_symmetry_equiv_pos_as_xyz
'x,y,z'
'-x,-y,-z'
'-x,y,-z'
'x,-y,z'
'x+1/2,y+1/2,z'
'-x+1/2,-y+1/2,-z'
'-x+1/2,y+1/2,-z'
'x+1/2,-y+1/2,z'
loop_
_atom_site_label
_atom_site_type_symbol
_atom_site_fract_x
_atom_site_fract_y
_atom_site_fract_z
Tb1 Tb 0.0179 0.0000 0.2543
Tb2 Tb 0.2127 0.5000 0.7566
H1 H 0.1062 0.0000 0.5966
Ru1 Ru 0.1175 0.5000 0.0543
```

Calculated values
Fermi-level density of states = 2.5 states/eV/f.u.

---

<three>
Computed, not measured: a geometry-optimized Tb2HRu structure at the PBE-GGA level of DFT.

Cell and atoms, written as CIF:
```
data_Tb2HRu
_chemical_formula_sum 'Tb2 H1 Ru1'
_symmetry_space_group_name_H-M 'P 4/m m m'
_symmetry_Int_Tables_number 123
_symmetry_space_group_name_Hall '-P 4 2'
_cell_length_a 3.2801
_cell_length_b 3.2801
_cell_length_c 7.0621
_cell_angle_alpha 90.00
_cell_angle_beta 90.00
_cell_angle_gamma 90.00
loop_
_atom_site_label
_atom_site_type_symbol
_atom_site_fract_x
_atom_site_fract_y
_atom_site_fract_z
Tb1 Tb 0.0000 0.0000 0.2438
H1 H 0.5000 0.5000 0.5000
Ru1 Ru 0.5000 0.5000 0.0000
```

Calculated values
Fermi-level density of states = 2.6 states/eV/f.u.

---

Winner for stability: <two>

---

<one>
Computed, not measured: a geometry-optimized TcHRu structure at the PBE-GGA level of DFT.

Cell and atoms, written as CIF:
```
data_TcHRu
_chemical_formula_sum 'Tc4 H4 Ru4'
_symmetry_space_group_name_H-M 'P n m a'
_symmetry_Int_Tables_number 62
_cell_length_a 9.9443
_cell_length_b 2.8199
_cell_length_c 4.4813
_cell_angle_alpha 90.00
_cell_angle_beta 90.00
_cell_angle_gamma 90.00
loop_
_symmetry_equiv_pos_as_xyz
'x,y,z'
'-x,-y,-z'
'-x+1/2,-y,z+1/2'
'x+1/2,y,-z+1/2'
'x+1/2,-y+1/2,-z+1/2'
'-x+1/2,y+1/2,z+1/2'
'-x,y+1/2,-z'
'x,-y+1/2,z'
loop_
_atom_site_label
_atom_site_type_symbol
_atom_site_fract_x
_atom_site_fract_y
_atom_site_fract_z
Tc1 Tc 0.0531 0.2500 0.2253
H1 H 0.0489 0.2500 0.6355
Ru1 Ru 0.2193 0.2500 0.7540
```

Calculated values
Fermi-level density of states = 1.2 states/eV/f.u.

---

<two>
Computed, not measured: a geometry-optimized TcHRu structure at the PBE-GGA level of DFT.

Cell and atoms, written as CIF:
```
data_TcHRu
_chemical_formula_sum 'Tc16 H16 Ru16'
_symmetry_space_group_name_H-M 'F d d 2'
_symmetry_Int_Tables_number 43
_symmetry_space_group_name_Hall 'F 2 -2d'
_cell_length_a 8.8358
_cell_length_b 9.7500
_cell_length_c 5.6329
_cell_angle_alpha 90.00
_cell_angle_beta 90.00
_cell_angle_gamma 90.00
loop_
_atom_site_label
_atom_site_type_symbol
_atom_site_fract_x
_atom_site_fract_y
_atom_site_fract_z
Tc1 Tc 0.1220 0.0828 0.0000
H1 H 0.0001 0.2489 0.4989
Ru1 Ru 0.1239 0.0834 0.5002
```

Calculated values
Fermi-level density of states = 1.4 states/eV/f.u.

---

Winner for stability: <two>

---

<one>
Computed, not measured: a geometry-optimized VTcHRu2 structure at the PBE-GGA level of DFT.

Cell and atoms, written as CIF:
```
data_VTcHRu2
_chemical_formula_sum 'V1 Tc1 H1 Ru2'
_symmetry_space_group_name_H-M 'P 4/m m m'
_symmetry_Int_Tables_number 123
_symmetry_space_group_name_Hall '-P 4 2'
_cell_length_a 3.8683
_cell_length_b 3.8683
_cell_length_c 3.8661
_cell_angle_alpha 90.00
_cell_angle_beta 90.00
_cell_angle_gamma 90.00
loop_
_atom_site_label
_atom_site_type_symbol
_atom_site_fract_x
_atom_site_fract_y
_atom_site_fract_z
V1 V 0.0000 0.0000 0.0000
Tc1 Tc 0.5000 0.5000 0.0000
H1 H 0.0000 0.0000 0.5000
Ru1 Ru 0.0000 0.5000 0.5000
```

Calculated values
Fermi-level density of states = 5.2 states/eV/f.u.

---

<two>
Computed, not measured: a geometry-optimized VTcHRu2 structure at the PBE-GGA level of DFT.

Cell and atoms, written as CIF:
```
data_VTcHRu2
_chemical_formula_sum 'V1 Tc1 H1 Ru2'
_symmetry_space_group_name_H-M 'P 4/m m m'
_symmetry_Int_Tables_number 123
_symmetry_space_group_name_Hall '-P 4 2'
_cell_length_a 3.8744
_cell_length_b 3.8744
_cell_length_c 3.8810
_cell_angle_alpha 90.00
_cell_angle_beta 90.00
_cell_angle_gamma 90.00
loop_
_atom_site_label
_atom_site_type_symbol
_atom_site_fract_x
_atom_site_fract_y
_atom_site_fract_z
V1 V 0.0000 0.0000 0.0000
Tc1 Tc 0.5000 0.5000 0.0000
H1 H 0.5000 0.5000 0.5000
Ru1 Ru 0.0000 0.5000 0.5000
```

Calculated values
Fermi-level density of states = 6.1 states/eV/f.u.

---

Winner for stability: <one>

---

<one>
Computed, not measured: a geometry-optimized TeHRu3 structure at the PBE-GGA level of DFT.

Cell and atoms, written as CIF:
```
data_TeHRu3
_chemical_formula_sum 'Te1 H1 Ru3'
_symmetry_space_group_name_H-M 'P m -3 m'
_symmetry_Int_Tables_number 221
_symmetry_space_group_name_Hall '-P 4 2 3'
_cell_length_a 4.8622
_cell_length_b 4.8622
_cell_length_c 4.8622
_cell_angle_alpha 90.00
_cell_angle_beta 90.00
_cell_angle_gamma 90.00
loop_
_atom_site_label
_atom_site_type_symbol
_atom_site_fract_x
_atom_site_fract_y
_atom_site_fract_z
Te1 Te 0.0000 0.0000 0.0000
H1 H 0.5000 0.5000 0.5000
Ru1 Ru 0.0000 0.0000 0.5000
```

Calculated values
Fermi-level density of states = 3.7 states/eV/f.u.

---

<two>
Computed, not measured: a geometry-optimized TeHRu3 structure at the PBE-GGA level of DFT.

Cell and atoms, written as CIF:
```
data_TeHRu3
_chemical_formula_sum 'Te1 H1 Ru3'
_symmetry_space_group_name_H-M 'P m -3 m'
_symmetry_Int_Tables_number 221
_symmetry_space_group_name_Hall '-P 4 2 3'
_cell_length_a 3.9979
_cell_length_b 3.9979
_cell_length_c 3.9979
_cell_angle_alpha 90.00
_cell_angle_beta 90.00
_cell_angle_gamma 90.00
loop_
_atom_site_label
_atom_site_type_symbol
_atom_site_fract_x
_atom_site_fract_y
_atom_site_fract_z
Te1 Te 0.0000 0.0000 0.0000
H1 H 0.5000 0.5000 0.5000
Ru1 Ru 0.0000 0.5000 0.5000
```

Calculated values
Fermi-level density of states = 3.0 states/eV/f.u.

---

Winner for stability: <two>